# 1
Hf5ScP6 | PBE-GGA | optimized geometry

POSCAR file:
```
Hf5ScP6
1.0
-4.552 -0.187 4.527
-1.468 -6.114 1.318
3.187 -3.149 4.598
Sc P Hf
1 6 5
Direct
0.000 0.000 0.000
0.749 0.417 0.666
0.251 0.583 0.334
0.752 0.749 0.000
0.749 0.084 0.334
0.251 0.916 0.666
0.248 0.251 0.000
0.500 0.165 0.670
0.000 0.667 0.666
0.500 0.835 0.330
0.000 0.333 0.334
0.500 0.500 0.000
```

Summary:
- Symmetry: C2/m (12)
- Formation energy from the elements: -1.298 eV/atom
- N(E_F): 0.339 states/eV/atom

# 2
Hf2ScP2 | PBE-GGA | optimized geometry

POSCAR file:
```
Hf2ScP2
1.0
-3.714 -3.548 -4.818
5.983 -2.255 -2.951
-0.028 -2.816 2.095
Sc Hf P
2 4 4
Direct
0.500 0.500 0.000
0.000 0.000 0.000
0.157 0.657 0.500
0.657 0.843 0.500
0.343 0.157 0.500
0.843 0.343 0.500
0.140 0.360 0.000
0.360 0.860 0.000
0.860 0.640 0.000
0.640 0.140 0.000
```

Summary:
- Symmetry: P4/mbm (127)
- Formation energy from the elements: -1.135 eV/atom
- N(E_F): 0.388 states/eV/atom

# 3
HfScP3 | PBE-GGA | optimized geometry

POSCAR file:
```
HfScP3
1.0
4.907 0.000 0.000
0.000 4.907 0.000
0.000 0.000 4.907
Sc P Hf
1 3 1
Direct
0.500 0.500 0.500
0.500 0.000 0.000
0.000 0.000 0.500
0.000 0.500 0.000
0.000 0.000 0.000
```

Summary:
- Symmetry: Pm-3m (221)
- Formation energy from the elements: -0.015 eV/atom
- N(E_F): 1.292 states/eV/atom

# 4
HfScP2 | PBE-GGA | optimized geometry

POSCAR file:
```
HfScP2
1.0
4.851 0.000 -2.049
-0.865 4.773 -2.049
-0.138 -0.166 6.440
Hf P Sc
2 4 2
Direct
0.750 0.250 0.500
0.000 0.000 0.000
0.500 0.000 0.001
0.250 0.250 0.499
0.000 0.500 0.999
0.750 0.750 0.501
0.500 0.500 0.000
0.250 0.750 0.500
```

Summary:
- Symmetry: I4_1/amd (141)
- Formation energy from the elements: -1.403 eV/atom
- N(E_F): 0.379 states/eV/atom

# 5
HfScP3 | PBE-GGA | optimized geometry

POSCAR file:
```
HfScP3
1.0
-1.806 1.937 -3.958
-3.848 -2.777 0.397
-2.147 3.349 2.619
Hf Sc P
1 1 3
Direct
0.500 0.500 0.500
0.000 0.000 0.000
0.000 0.500 0.000
0.500 0.000 0.000
0.000 0.000 0.500
```

Summary:
- Symmetry: Pm-3m (221)
- Formation energy from the elements: 0.396 eV/atom
- N(E_F): 1.086 states/eV/atom

# 6
Hf4ScP5 | PBE-GGA | optimized geometry

POSCAR file:
```
Hf4ScP5
1.0
-1.429 -2.927 1.781
1.035 -3.437 -0.949
11.151 -1.504 10.347
Hf P Sc
4 5 1
Direct
0.299 0.299 0.102
0.701 0.701 0.898
0.901 0.901 0.297
0.099 0.099 0.703
0.799 0.799 0.602
0.400 0.400 0.801
0.000 0.000 0.000
0.600 0.600 0.199
0.201 0.201 0.398
0.500 0.500 0.500
```

Summary:
- Symmetry: R-3m (166)
- Formation energy from the elements: -1.304 eV/atom
- N(E_F): 0.413 states/eV/atom

# 7
HfScP2 | PBE-GGA | optimized geometry

POSCAR file:
```
HfScP2
1.0
-2.263 -0.246 2.932
0.787 -2.354 2.760
2.699 3.519 4.728
Hf P Sc
1 2 1
Direct
0.500 0.500 0.500
0.249 0.249 0.252
0.751 0.751 0.748
0.000 0.000 0.000
```

Summary:
- Symmetry: R-3m (166)
- Formation energy from the elements: -1.408 eV/atom
- N(E_F): 0.323 states/eV/atom

# 8
HfSc2P | PBE-GGA | optimized geometry

POSCAR file:
```
HfSc2P
1.0
3.572 0.000 0.000
-1.786 5.308 0.000
0.000 0.000 8.321
P Sc Hf
2 4 2
Direct
0.245 0.489 0.250
0.755 0.511 0.750
0.639 0.278 0.049
0.361 0.722 0.951
0.639 0.278 0.451
0.361 0.722 0.549
0.066 0.133 0.750
0.934 0.867 0.250
```

Summary:
- Symmetry: Cmcm (63)
- Formation energy from the elements: -0.765 eV/atom
- N(E_F): 0.838 states/eV/atom